No. 1
The following is a DFT calculation (PBE-GGA) of a geometry-optimized LiDy2Cl5 structure.

Calculated values
**Space group**: C2/c (15)
**Formation energy from raw total energies**: -1.770 eV per atom
**ρ**: 4.68 g/cm³
**M_tot**: 0.00 μB per atom

a = 8.329 Å, b = 8.329 Å, c = 7.343 Å
α = 87.23°, β = 87.23°, γ = 45.21°
Sites, in units of the cell vectors:
Dy 0.265 0.885 0.931
Dy 0.735 0.115 0.069
Dy 0.885 0.265 0.431
Dy 0.115 0.735 0.569
Li 0.500 0.000 0.500
Li 0.000 0.500 0.000
Cl 0.259 0.148 0.171
Cl 0.852 0.741 0.329
Cl 0.148 0.259 0.671
Cl 0.315 0.506 0.902
Cl 0.121 0.879 0.250
Cl 0.741 0.852 0.829
Cl 0.879 0.121 0.750
Cl 0.494 0.685 0.598
Cl 0.685 0.494 0.098
Cl 0.506 0.315 0.402



No. 2
The following is a DFT calculation (PBE-GGA) of a geometry-optimized Cs3H8Os structure.

Calculated values
**Space group**: I-42m (121)
**E_tot**: -3.546 eV per atom
**ρ**: 4.74 g/cm³
**M_tot**: 0.05 μB per atom

a = 7.002 Å, b = 6.535 Å, c = 7.002 Å
α = 57.60°, β = 90.00°, γ = 122.40°
Sites, in units of the cell vectors:
Os 0.000 0.000 0.000
H 0.942 0.684 0.058
H 0.259 0.316 0.942
H 0.220 0.107 0.780
H 0.887 0.107 0.113
H 0.780 0.893 0.887
H 0.741 0.684 0.259
H 0.058 0.316 0.741
H 0.113 0.893 0.220
Cs 0.750 0.500 0.750
Cs 0.250 0.500 0.250
Cs 0.500 0.000 0.500



No. 3
The following is a DFT calculation (PBE-GGA) of a geometry-optimized La3Sn4Rh2 structure.

Calculated values
**Space group**: C2/m (12)
**ρ**: 7.70 g/cm³
**Calculated formation energy**: -0.80 eV per atom
**Offset from the most stable computed form**: 0.0 meV per atom
**M_tot**: 0.00 μB per atom

a = 4.684 Å, b = 6.328 Å, c = 8.956 Å
α = 105.05°, β = 90.00°, γ = 111.72°
Sites, in units of the cell vectors:
Sn 0.292 0.585 0.919
Sn 0.708 0.415 0.081
Sn 0.092 0.184 0.393
Sn 0.908 0.816 0.607
La 0.628 0.256 0.687
La 0.000 0.000 0.000
La 0.372 0.744 0.313
Rh 0.302 0.604 0.618
Rh 0.698 0.396 0.382